Record 1
DFT (PBE-GGA) results for a relaxed MgIn2Os crystal.

Geometry as extended XYZ:
```
4
Lattice="5.244 -1.660 0.000 5.244 1.660 0.000 -2.060 0.000 4.383" Properties=species:S:1:pos:R:3 pbc="T T T"
Mg 0.000 0.000 0.000
In 0.725 0.000 3.590
In 3.886 0.000 1.981
Os 6.899 0.000 1.516
```

Theoretical density   9.66 Mg/m³
DFT formation energy   0.26 eV per atom


Record 2
DFT (PBE-GGA) results for a relaxed Ac8Te4PIr3 crystal.

Geometry as extended XYZ:
```
16
Lattice="4.473 2.582 7.884 -4.473 2.582 7.884 0.000 -5.165 7.884" Properties=species:S:1:pos:R:3 pbc="T T T"
Ac -2.287 -1.320 13.472
Ac 0.000 0.000 5.611
Ac 0.000 -2.640 10.179
Ac -2.287 1.320 10.179
Ac 2.287 -1.320 13.472
Ac 0.000 2.640 13.472
Ac 0.000 0.000 18.040
Ac 2.287 1.320 10.179
Te 0.000 0.000 0.000
Te -2.236 -1.291 7.884
Te -2.236 1.291 15.768
Te 0.000 2.582 7.884
P 0.000 0.000 11.826
Ir -4.473 0.000 11.826
Ir -2.236 1.291 3.942
Ir 2.236 1.291 3.942
```

Energy relative to the elements, uncorrected   -19.3 eV per formula unit
Theoretical density   8.92 Mg/m³


Record 3
DFT (PBE-GGA) results for a relaxed Y2ZrCu crystal.

Geometry as extended XYZ:
```
8
Lattice="-4.058 4.058 3.075 4.058 -4.058 3.075 4.058 4.058 -3.075" Properties=species:S:1:pos:R:3 pbc="T T T"
Y 6.087 1.603 -0.769
Y 1.603 2.029 0.769
Y -2.029 2.455 2.307
Y 2.455 2.029 3.844
Zr 4.058 0.000 1.538
Zr 0.000 0.000 3.075
Cu 0.000 0.000 0.000
Cu 0.000 4.058 1.538
```

Theoretical density   5.45 Mg/m³
Energy above the most stable polymorph in this dataset   1.27 eV/f.u.
DFT formation energy   0.25 eV per atom


Record 4
DFT (PBE-GGA) results for a relaxed TaIr2 crystal.

Geometry as extended XYZ:
```
6
Lattice="-2.581 2.581 3.933 2.581 -2.581 3.933 2.581 2.581 -3.933" Properties=species:S:1:pos:R:3 pbc="T T T"
Ta 0.000 0.000 1.967
Ta 0.000 0.000 5.900
Ir 3.504 0.923 0.000
Ir 0.923 1.658 0.000
Ir 1.658 0.923 3.933
Ir -0.923 1.658 3.933
```

Theoretical density   17.92 Mg/m³
DFT formation energy   -0.12 eV per atom


Record 5
DFT (PBE-GGA) results for a relaxed TaHgTe2 crystal.

Geometry as extended XYZ:
```
4
Lattice="3.351 0.000 0.000 0.000 3.375 0.000 -0.065 0.000 9.835" Properties=species:S:1:pos:R:3 pbc="T T T"
Ta 0.000 0.000 0.000
Hg -0.033 0.000 4.917
Te 1.611 1.688 8.107
Te 1.674 1.688 1.728
```

Energy relative to the elements, uncorrected   -0.4 eV per formula unit
Theoretical density   9.51 Mg/m³


Record 6
DFT (PBE-GGA) results for a relaxed ZrRhW3 crystal.

Geometry as extended XYZ:
```
5
Lattice="4.726 0.000 0.000 0.000 4.726 0.000 0.000 0.000 4.726" Properties=species:S:1:pos:R:3 pbc="T T T"
Zr 0.000 0.000 0.000
Rh 2.363 2.363 2.363
W 0.000 0.000 2.363
W 0.000 2.363 0.000
W 2.363 0.000 0.000
```

Theoretical density   11.73 Mg/m³
Energy above the most stable polymorph in this dataset   5.43 eV/f.u.
DFT formation energy   2.66 eV per atom


Record 7
DFT (PBE-GGA) results for a relaxed La2ScFeBi crystal.

Geometry as extended XYZ:
```
5
Lattice="5.143 0.000 0.000 0.000 5.143 0.000 0.000 0.000 5.131" Properties=species:S:1:pos:R:3 pbc="T T T"
La 0.000 2.571 0.000
La 2.571 0.000 0.000
Sc 0.000 0.000 2.565
Fe 0.000 0.000 0.000
Bi 2.571 2.571 2.565
```

Theoretical density   7.19 Mg/m³
DFT formation energy   -0.37 eV per atom


Record 8
DFT (PBE-GGA) results for a relaxed NiIrPd2Cl crystal.

Geometry as extended XYZ:
```
5
Lattice="4.489 0.000 0.000 0.000 4.489 0.000 0.000 0.000 4.054" Properties=species:S:1:pos:R:3 pbc="T T T"
Ni 0.000 0.000 0.000
Ir 2.244 2.244 0.000
Pd 0.000 2.244 2.027
Pd 2.244 0.000 2.027
Cl 0.000 0.000 2.027
```

Energy relative to the elements, uncorrected   4.7 eV per formula unit
Theoretical density   10.15 Mg/m³


Record 9
DFT (PBE-GGA) results for a relaxed Y2MgCl crystal.

Geometry as extended XYZ:
```
4
Lattice="5.415 -1.801 0.000 5.415 1.801 0.000 -2.655 0.000 5.791" Properties=species:S:1:pos:R:3 pbc="T T T"
Y 1.664 0.000 1.305
Y 6.510 0.000 4.487
Mg -1.327 0.000 2.896
Cl 5.415 0.000 0.000
```

Energy relative to the elements, uncorrected   -1.9 eV per formula unit
Theoretical density   3.49 Mg/m³
Energy above the most stable polymorph in this dataset   0.67 eV/f.u.


Record 10
DFT (PBE-GGA) results for a relaxed RbPtCl crystal.

Geometry as extended XYZ:
```
6
Lattice="3.768 0.000 0.000 0.019 6.100 0.000 0.004 2.959 7.164" Properties=species:S:1:pos:R:3 pbc="T T T"
Rb 0.946 3.004 1.828
Rb 2.846 6.055 5.337
Pt 0.947 2.978 6.296
Pt 2.845 6.081 0.868
Cl 0.961 6.053 2.566
Cl 2.830 3.006 4.598
```

Energy relative to the elements, uncorrected   -2.2 eV per formula unit
Theoretical density   6.37 Mg/m³
Energy above the most stable polymorph in this dataset   0.08 eV/f.u.


Record 11
DFT (PBE-GGA) results for a relaxed HoThP2 crystal.

Geometry as extended XYZ:
```
4
Lattice="2.013 1.162 6.928 -2.013 1.162 6.928 0.000 -2.324 6.928" Properties=species:S:1:pos:R:3 pbc="T T T"
Ho 0.000 0.000 0.000
Th 0.000 0.000 17.161
P 0.000 0.000 5.130
P 0.000 0.000 8.528
```

Theoretical density   7.84 Mg/m³
Energy above the most stable polymorph in this dataset   0.71 eV/f.u.
DFT formation energy   -1.40 eV per atom


Record 12
DFT (PBE-GGA) results for a relaxed Pm4PI5 crystal.

Geometry as extended XYZ:
```
10
Lattice="9.700 -2.111 0.000 9.700 2.111 0.000 -1.976 0.000 8.719" Properties=species:S:1:pos:R:3 pbc="T T T"
Pm -0.563 0.000 2.549
Pm 6.063 0.000 3.732
Pm 11.361 0.000 4.987
Pm 17.987 0.000 6.170
P 8.712 0.000 4.359
I 1.553 0.000 7.324
I 2.683 0.000 2.820
I 9.700 0.000 0.000
I 14.741 0.000 5.898
I 15.871 0.000 1.394
```

Energy relative to the elements, uncorrected   -13.9 eV per formula unit
Theoretical density   5.79 Mg/m³


Record 13
DFT (PBE-GGA) results for a relaxed Li2VSbS crystal.

Geometry as extended XYZ:
```
5
Lattice="4.811 0.000 0.000 0.000 4.811 0.000 0.000 0.000 5.487" Properties=species:S:1:pos:R:3 pbc="T T T"
Li 0.000 2.406 0.000
Li 2.406 0.000 0.000
V 0.000 0.000 2.743
Sb 2.406 2.406 0.000
S 2.406 2.406 2.743
```

Energy relative to the elements, uncorrected   4.2 eV per formula unit
Theoretical density   2.86 Mg/m³